# 1
{
  "formula": "GeSb2TeSe",
  "functional": "PBE",
  "state": "optimized geometry",
  "lattice": [[5.411, 0.000, 0.000], [0.000, 5.411, 0.000], [0.000, 0.000, 5.215]],
  "species": ["Sb", "Se", "Sb", "Te", "Ge"],
  "frac_coords": [[0.000, 0.500, 0.000], [0.500, 0.500, 0.500], [0.500, 0.000, 0.000], [0.000, 0.000, 0.500], [0.000, 0.000, 0.000]],
  "e_form_raw_ev_per_fu": 3.6,
  "sg": "P4/mmm, No. 123",
  "total_magnetization_mub_per_fu": 0.0
}

=====

# 2
{
  "formula": "K2ScHgBr6",
  "functional": "PBE",
  "state": "optimized geometry",
  "lattice": [[0.824, -5.586, 5.680], [-3.676, 0.895, 7.060], [-6.191, -4.706, 1.916]],
  "species": ["K", "Br", "Hg", "Br", "Sc", "Br", "Br", "Br", "K", "Br"],
  "frac_coords": [[0.250, 0.250, 0.250], [0.765, 0.235, 0.765], [0.500, 0.500, 0.500], [0.765, 0.765, 0.235], [0.000, 0.000, 0.000], [0.235, 0.765, 0.235], [0.235, 0.235, 0.765], [0.765, 0.235, 0.235], [0.750, 0.750, 0.750], [0.235, 0.765, 0.765]],
  "e_form_raw_ev_per_fu": -13.4,
  "sg": "Fm-3m, No. 225",
  "total_magnetization_mub_per_fu": 0.0
}

=====

# 3
{
  "formula": "LiTb2Si3Pt4",
  "functional": "PBE",
  "state": "optimized geometry",
  "lattice": [[-4.002, -0.767, -0.928], [-0.139, -2.907, 3.000], [-2.843, 6.903, 6.555]],
  "species": ["Tb", "Li", "Pt", "Tb", "Pt", "Si", "Pt", "Pt", "Si", "Si"],
  "frac_coords": [[0.500, 0.000, 0.255], [0.500, 0.500, 0.500], [0.000, 0.000, 0.000], [0.000, 0.500, 0.745], [0.000, 0.500, 0.371], [0.000, 0.500, 0.135], [0.500, 0.500, 0.000], [0.500, 0.000, 0.629], [0.000, 0.000, 0.500], [0.500, 0.000, 0.865]],
  "e_form_raw_ev_per_fu": -10.7,
  "sg": "P-4m2, No. 115",
  "total_magnetization_mub_per_fu": 0.0
}

=====

# 4
{
  "formula": "Li12CeAu6",
  "functional": "PBE",
  "state": "optimized geometry",
  "lattice": [[7.278, 0.192, 0.271], [-1.618, 7.099, 0.271], [-1.618, -2.084, 6.791]],
  "species": ["Li", "Li", "Au", "Li", "Li", "Ce", "Au", "Li", "Li", "Li", "Au", "Au", "Au", "Li", "Li", "Li", "Li", "Li", "Au"],
  "frac_coords": [[0.888, 0.500, 0.112], [0.454, 0.454, 0.176], [0.731, 0.229, 0.229], [0.112, 0.500, 0.888], [0.500, 0.112, 0.888], [0.000, 0.000, 0.000], [0.229, 0.229, 0.731], [0.176, 0.454, 0.454], [0.824, 0.546, 0.546], [0.546, 0.824, 0.546], [0.229, 0.731, 0.229], [0.771, 0.771, 0.269], [0.771, 0.269, 0.771], [0.888, 0.112, 0.500], [0.546, 0.546, 0.824], [0.500, 0.888, 0.112], [0.112, 0.888, 0.500], [0.454, 0.176, 0.454], [0.269, 0.771, 0.771]],
  "ef_ev_per_atom": -0.34,
  "sg": "R-3m, No. 166",
  "total_magnetization_mub_per_fu": 1.4
}

=====

# 5
{
  "formula": "Y2Cu2Cl",
  "functional": "PBE",
  "state": "optimized geometry",
  "lattice": [[-5.861, -4.433, 1.784], [2.433, -5.198, -4.924], [2.147, -1.692, 2.847]],
  "species": ["Y", "Cl", "Y", "Cu", "Cu", "Y", "Y", "Cu", "Cl", "Cu"],
  "frac_coords": [[0.327, 0.827, 0.000], [0.000, 0.000, 0.000], [0.673, 0.173, 0.000], [0.614, 0.886, 0.500], [0.886, 0.386, 0.500], [0.827, 0.673, 0.000], [0.173, 0.327, 0.000], [0.114, 0.614, 0.500], [0.500, 0.500, 0.000], [0.386, 0.114, 0.500]],
  "e_form_raw_ev_per_fu": -2.7,
  "sg": "P4/mbm, No. 127",
  "total_magnetization_mub_per_fu": 0.0
}

=====

# 6
{
  "formula": "SmCdSb",
  "functional": "PBE",
  "state": "optimized geometry",
  "lattice": [[-0.531, 3.919, 1.846], [-4.556, -0.924, 0.651], [3.123, -1.138, 3.315]],
  "species": ["Cd", "Sm", "Sb"],
  "frac_coords": [[0.037, 0.000, 0.000], [0.690, 0.667, 0.333], [0.274, 0.333, 0.667]],
  "e_form_raw_ev_per_fu": -1.6,
  "sg": "P3m1, No. 156",
  "total_magnetization_mub_per_fu": 0.0
}

=====

# 7
{
  "formula": "K2PaCl8",
  "functional": "PBE",
  "state": "optimized geometry",
  "lattice": [[-2.511, -3.984, 1.677], [7.078, -2.875, -3.684], [4.434, 0.883, 8.734]],
  "species": ["Pa", "Cl", "Cl", "Cl", "Cl", "Cl", "Cl", "Cl", "Cl", "K", "K"],
  "frac_coords": [[0.500, 0.000, 0.000], [0.551, 0.102, 0.759], [0.338, 0.675, 0.951], [0.949, 0.897, 0.872], [0.051, 0.103, 0.128], [0.227, 0.453, 0.555], [0.449, 0.898, 0.241], [0.662, 0.325, 0.049], [0.773, 0.547, 0.445], [0.241, 0.482, 0.246], [0.759, 0.518, 0.754]],
  "e_form_raw_ev_per_fu": -17.5,
  "sg": "C2/m, No. 12",
  "total_magnetization_mub_per_fu": 1.0
}

=====

# 8
{
  "formula": "Pm3Ga2Cu",
  "functional": "PBE",
  "state": "optimized geometry",
  "lattice": [[4.395, 0.000, 0.000], [0.000, 11.436, 0.000], [0.000, 0.000, 11.969]],
  "species": ["Pm", "Cu", "Ga", "Cu", "Pm", "Ga", "Pm", "Ga", "Ga", "Ga", "Cu", "Pm", "Ga", "Pm", "Pm", "Pm", "Pm", "Ga", "Ga", "Pm", "Pm", "Cu", "Pm", "Pm"],
  "frac_coords": [[0.750, 0.627, 0.950], [0.750, 0.622, 0.376], [0.250, 0.816, 0.983], [0.250, 0.378, 0.624], [0.250, 0.800, 0.722], [0.250, 0.684, 0.483], [0.250, 0.700, 0.222], [0.250, 0.500, 0.810], [0.750, 0.184, 0.017], [0.250, 0.000, 0.310], [0.750, 0.878, 0.876], [0.750, 0.873, 0.450], [0.750, 0.500, 0.190], [0.750, 0.300, 0.778], [0.250, 0.062, 0.873], [0.250, 0.373, 0.050], [0.250, 0.438, 0.373], [0.750, 0.316, 0.517], [0.750, 0.000, 0.690], [0.750, 0.200, 0.278], [0.750, 0.938, 0.127], [0.250, 0.122, 0.124], [0.250, 0.127, 0.550], [0.750, 0.562, 0.627]],
  "ef_ev_per_atom": -0.44,
  "sg": "Pnma, No. 62",
  "total_magnetization_mub_per_fu": 0.0
}

=====

# 9
{
  "formula": "CoSeCl2",
  "functional": "PBE",
  "state": "optimized geometry",
  "lattice": [[3.356, 0.000, 0.000], [0.000, 5.281, 0.117], [0.000, 3.772, 4.857]],
  "species": ["Co", "Cl", "Se", "Cl"],
  "frac_coords": [[0.000, 0.531, 0.470], [0.000, 0.020, 0.021], [0.500, 0.631, 0.649], [0.500, 0.318, 0.361]],
  "e_form_raw_ev_per_fu": -1.0,
  "sg": "Pm, No. 6",
  "total_magnetization_mub_per_fu": 0.0
}

=====

# 10
{
  "formula": "LiErAlAg",
  "functional": "PBE",
  "state": "optimized geometry",
  "lattice": [[4.735, 0.000, 0.000], [2.367, 4.101, 0.000], [2.367, 1.367, 3.866]],
  "species": ["Al", "Er", "Ag", "Li"],
  "frac_coords": [[0.500, 0.500, 0.500], [0.000, 0.000, 0.000], [0.250, 0.250, 0.250], [0.750, 0.750, 0.750]],
  "ef_ev_per_atom": -0.32,
  "sg": "F-43m, No. 216",
  "total_magnetization_mub_per_fu": 0.0
}

=====

# 11
{
  "formula": "RbNdH",
  "functional": "PBE",
  "state": "optimized geometry",
  "lattice": [[3.746, 0.000, 0.000], [-1.873, 3.240, 0.000], [0.000, 0.000, 14.708]],
  "species": ["H", "Nd", "H", "Rb", "Nd", "Rb"],
  "frac_coords": [[0.284, 0.568, 0.500], [0.272, 0.544, 0.890], [0.605, 0.209, 0.000], [0.617, 0.234, 0.373], [0.272, 0.544, 0.110], [0.617, 0.234, 0.627]],
  "sg": "Amm2, No. 38",
  "total_magnetization_mub_per_fu": 0.0
}

=====

# 12
{
  "formula": "ErPuU2As4",
  "functional": "PBE",
  "state": "optimized geometry",
  "lattice": [[-1.437, 3.645, -1.109], [-3.654, -3.027, -5.209], [-4.066, 0.198, 5.920]],
  "species": ["Er", "As", "Pu", "U", "U", "As", "As", "As"],
  "frac_coords": [[0.500, 0.500, 0.000], [0.000, 0.251, 0.749], [0.000, 0.000, 0.000], [0.500, 0.000, 0.500], [0.000, 0.500, 0.500], [0.500, 0.748, 0.748], [0.000, 0.749, 0.251], [0.500, 0.252, 0.252]],
  "ef_ev_per_atom": -1.01,
  "sg": "P2/m, No. 10",
  "total_magnetization_mub_per_fu": 10.1
}

=====

# 13
{
  "formula": "LaAsW3",
  "functional": "PBE",
  "state": "optimized geometry",
  "lattice": [[-2.455, 3.829, 1.762], [-3.330, -3.012, 1.906], [2.584, -0.244, 4.130]],
  "species": ["W", "W", "As", "W", "La"],
  "frac_coords": [[0.000, 0.000, 0.500], [0.500, 0.000, 0.000], [0.500, 0.500, 0.500], [0.000, 0.500, 0.000], [0.000, 0.000, 0.000]],
  "ef_ev_per_atom": 3.04,
  "sg": "Pm-3m, No. 221",
  "total_magnetization_mub_per_fu": 0.0
}

=====

# 14
{
  "formula": "PmSn4Rh6",
  "functional": "PBE",
  "state": "optimized geometry",
  "lattice": [[-3.224, -1.584, 1.904], [-2.201, -3.339, -6.505], [4.650, -3.691, 4.803]],
  "species": ["Pm", "Rh", "Rh", "Rh", "Sn", "Sn", "Rh", "Sn", "Rh", "Sn", "Rh"],
  "frac_coords": [[0.000, 0.000, 0.000], [0.000, 0.933, 0.467], [0.000, 0.533, 0.067], [0.500, 0.598, 0.799], [0.500, 0.804, 0.196], [0.000, 0.333, 0.667], [0.500, 0.201, 0.402], [0.500, 0.392, 0.196], [0.000, 0.533, 0.467], [0.500, 0.804, 0.608], [0.500, 0.201, 0.799]],
  "ef_ev_per_atom": -0.55,
  "sg": "P-6m2, No. 187",
  "total_magnetization_mub_per_fu": 0.0
}

=====

# 15
{
  "formula": "SmY3HoEr",
  "functional": "PBE",
  "state": "optimized geometry",
  "lattice": [[5.035, 0.000, 0.000], [-2.518, 7.560, 0.000], [0.000, 0.000, 10.074]],
  "species": ["Sm", "Y", "Y", "Y", "Ho", "Er", "Ho", "Sm", "Y", "Y", "Er", "Y"],
  "frac_coords": [[0.000, 0.000, 0.500], [0.333, 0.667, 0.000], [0.333, 0.667, 0.500], [0.667, 0.333, 0.000], [0.501, 0.001, 0.250], [0.834, 0.668, 0.750], [0.499, 0.999, 0.750], [0.000, 0.000, 0.000], [0.833, 0.667, 0.250], [0.667, 0.333, 0.500], [0.166, 0.332, 0.250], [0.167, 0.333, 0.750]],
  "ef_ev_per_atom": 0.02,
  "sg": "Cmcm, No. 63",
  "total_magnetization_mub_per_fu": 0.0
}

=====

# 16
{
  "formula": "TiBe2Se",
  "functional": "PBE",
  "state": "optimized geometry",
  "lattice": [[-6.274, -2.227, -1.301], [1.907, -6.310, 1.604], [-2.810, -3.865, 2.484]],
  "species": ["Ti", "Be", "Be", "Se", "Be", "Ti", "Se", "Be"],
  "frac_coords": [[0.500, 0.500, 0.000], [0.375, 0.335, 0.750], [0.085, 0.625, 0.250], [0.000, 0.000, 0.000], [0.875, 0.915, 0.750], [0.250, 0.750, 0.500], [0.750, 0.250, 0.500], [0.665, 0.125, 0.250]],
  "e_form_raw_ev_per_fu": 0.5,
  "sg": "I-42d, No. 122",
  "total_magnetization_mub_per_fu": 0.0
}

=====

# 17
{
  "formula": "Ca3Si2Ge2",
  "functional": "PBE",
  "state": "optimized geometry",
  "lattice": [[-2.738, 0.121, -3.536], [4.718, -3.346, -0.938], [-5.412, -3.383, 4.074]],
  "species": ["Ge", "Ca", "Ca", "Si", "Ca", "Si", "Ge"],
  "frac_coords": [[0.975, 0.949, 0.659], [0.500, 0.000, 0.000], [0.321, 0.643, 0.367], [0.798, 0.597, 0.066], [0.679, 0.357, 0.633], [0.202, 0.403, 0.934], [0.025, 0.051, 0.341]],
  "e_form_raw_ev_per_fu": -3.6,
  "sg": "C2/m, No. 12",
  "total_magnetization_mub_per_fu": 0.0
}

=====

# 18
{
  "formula": "BaCrAg2",
  "functional": "PBE",
  "state": "optimized geometry",
  "lattice": [[-4.243, 0.083, 2.998], [-2.930, -1.222, -4.113], [0.472, -3.731, 0.772]],
  "species": ["Ag", "Ag", "Ba", "Cr"],
  "frac_coords": [[0.500, 0.500, 0.000], [0.000, 0.000, 0.000], [0.500, 0.000, 0.500], [0.000, 0.500, 0.500]],
  "ef_ev_per_atom": 0.42,
  "sg": "P4/mmm, No. 123",
  "total_magnetization_mub_per_fu": 4.5
}

=====

# 19
{
  "formula": "TlIrRh2O8",
  "functional": "PBE",
  "state": "optimized geometry",
  "lattice": [[4.662, 0.004, -0.003], [0.037, 4.648, -0.005], [0.004, 0.007, 6.557]],
  "species": ["O", "Rh", "Ir", "Rh", "O", "O", "Tl", "O", "O", "O", "O", "O"],
  "frac_coords": [[0.303, 0.300, 0.000], [0.500, 0.500, 0.244], [0.000, 0.000, 0.000], [0.500, 0.500, 0.756], [0.198, 0.800, 0.224], [0.697, 0.700, 0.000], [0.000, 0.000, 0.500], [0.329, 0.325, 0.500], [0.802, 0.200, 0.224], [0.198, 0.800, 0.776], [0.802, 0.200, 0.776], [0.671, 0.675, 0.500]],
  "e_form_raw_ev_per_fu": -7.7,
  "sg": "P2/m, No. 10",
  "total_magnetization_mub_per_fu": 0.0
}

=====

# 20
{
  "formula": "Zn4Co5",
  "functional": "PBE",
  "state": "optimized geometry",
  "lattice": [[7.173, 0.000, 0.000], [3.587, 6.212, 0.000], [0.000, 0.000, 4.885]],
  "species": ["Co", "Zn", "Zn", "Co", "Co", "Co", "Zn", "Co", "Co", "Zn", "Zn", "Zn", "Co", "Co", "Zn", "Zn", "Co", "Co"],
  "frac_coords": [[0.333, 0.333, 0.500], [0.647, 0.000, 0.750], [0.000, 0.000, 0.500], [0.318, 0.682, 0.250], [0.667, 0.667, 0.500], [0.000, 0.682, 0.750], [0.000, 0.647, 0.250], [0.333, 0.333, 0.000], [0.000, 0.318, 0.250], [0.647, 0.353, 0.250], [0.000, 0.353, 0.750], [0.000, 0.000, 0.000], [0.318, 0.000, 0.750], [0.682, 0.000, 0.250], [0.353, 0.000, 0.250], [0.353, 0.647, 0.750], [0.667, 0.667, 0.000], [0.682, 0.318, 0.750]],
  "ef_ev_per_atom": 0.12,
  "sg": "P6_3/mcm, No. 193",
  "total_magnetization_mub_per_fu": 5.0
}

=====

# 21
{
  "formula": "BaReW2",
  "functional": "PBE",
  "state": "optimized geometry",
  "lattice": [[-2.728, 2.719, -2.809], [0.319, -0.398, -4.739], [-3.573, -1.961, -2.473]],
  "species": ["Ba", "W", "Re", "W"],
  "frac_coords": [[0.500, 0.500, 0.500], [0.000, 0.000, 0.000], [0.750, 0.750, 0.750], [0.250, 0.250, 0.250]],
  "ef_ev_per_atom": 1.50,
  "sg": "F-43m, No. 216",
  "total_magnetization_mub_per_fu": 0.0
}

=====

# 22
{
  "formula": "ZrCu2BiBr",
  "functional": "PBE",
  "state": "optimized geometry",
  "lattice": [[4.674, 0.000, 0.000], [0.000, 5.194, 0.000], [0.000, 0.000, 4.674]],
  "species": ["Br", "Cu", "Bi", "Cu", "Zr"],
  "frac_coords": [[0.000, 0.000, 0.000], [0.500, 0.000, 0.000], [0.500, 0.500, 0.500], [0.000, 0.000, 0.500], [0.000, 0.500, 0.000]],
  "e_form_raw_ev_per_fu": 2.8,
  "sg": "P4/mmm, No. 123",
  "total_magnetization_mub_per_fu": 0.0
}

=====

Energy in eV/cell, matching the order above: -15.9 -32.3 -62.3 -55.1 -51.4 -11.4 -43.9 -108.2 -15.3 -14.4 -17.4 -68.1 -33.2 -70.9 -66.2 -36.7 -29.6 -15.6 -73.3 -79.1 -34.3 -19.5